(1)
# TiAgP2S (PBE, relaxed)
data_TiAgP2S
_cell_length_a 4.734
_cell_length_b 4.734
_cell_length_c 4.670
_cell_angle_alpha 90.00
_cell_angle_beta 90.00
_cell_angle_gamma 90.00
_space_group_name_H-M_alt 'P 1'
_space_group_IT_number 1
loop_
_space_group_symop_operation_xyz
'x,y,z'
loop_
_atom_site_label
_atom_site_type_symbol
_atom_site_fract_x
_atom_site_fract_y
_atom_site_fract_z
P1 P 0.000 0.500 0.000
P2 P 0.500 0.000 0.000
S1 S 0.000 0.000 0.500
Ag1 Ag 0.500 0.500 0.500
Ti1 Ti 0.000 0.000 0.000
# - Symmetry: No. 123
# - Energy relative to the elements, uncorrected: 188.4 meV per atom
# - Crystal system: tetragonal
# - Total energy: -24.75 eV per cell
# - Polymorph energy (0 for the lowest one): 0.000 eV/atom

(2)
# TlAgPS4 (PBE, relaxed)
data_TlAgPS4
_cell_length_a 6.385
_cell_length_b 6.794
_cell_length_c 8.377
_cell_angle_alpha 90.00
_cell_angle_beta 107.92
_cell_angle_gamma 90.00
_space_group_name_H-M_alt 'P 1'
_space_group_IT_number 1
loop_
_space_group_symop_operation_xyz
'x,y,z'
loop_
_atom_site_label
_atom_site_type_symbol
_atom_site_fract_x
_atom_site_fract_y
_atom_site_fract_z
Tl1 Tl 0.759 0.750 0.935
Tl2 Tl 0.241 0.250 0.065
Ag1 Ag 0.766 0.750 0.445
Ag2 Ag 0.234 0.250 0.555
P1 P 0.221 0.750 0.329
P2 P 0.779 0.250 0.671
S1 S 0.992 0.486 0.709
S2 S 0.008 0.986 0.291
S3 S 0.008 0.514 0.291
S4 S 0.992 0.014 0.709
S5 S 0.407 0.750 0.169
S6 S 0.593 0.250 0.831
S7 S 0.441 0.750 0.563
S8 S 0.559 0.250 0.437
# - Symmetry: No. 11
# - Energy relative to the elements, uncorrected: -152.3 meV per atom
# - Crystal system: monoclinic
# - Total energy: -56.41 eV per cell

(3)
# TlAgP2S (PBE, relaxed)
data_TlAgP2S
_cell_length_a 4.898
_cell_length_b 4.898
_cell_length_c 5.111
_cell_angle_alpha 90.00
_cell_angle_beta 90.00
_cell_angle_gamma 90.00
_space_group_name_H-M_alt 'P 1'
_space_group_IT_number 1
loop_
_space_group_symop_operation_xyz
'x,y,z'
loop_
_atom_site_label
_atom_site_type_symbol
_atom_site_fract_x
_atom_site_fract_y
_atom_site_fract_z
P1 P 0.000 0.500 0.000
P2 P 0.500 0.000 0.000
Tl1 Tl 0.500 0.500 0.500
S1 S 0.000 0.000 0.500
Ag1 Ag 0.000 0.000 0.000
# - Symmetry: No. 123
# - Energy relative to the elements, uncorrected: 854.9 meV per atom
# - Crystal system: tetragonal
# - Total energy: -15.89 eV per cell
# - Polymorph energy (0 for the lowest one): 0.000 eV/atom

(4)
# TlAgPS2 (PBE, relaxed)
data_TlAgPS2
_cell_length_a 5.201
_cell_length_b 5.201
_cell_length_c 5.136
_cell_angle_alpha 90.00
_cell_angle_beta 90.00
_cell_angle_gamma 90.00
_space_group_name_H-M_alt 'P 1'
_space_group_IT_number 1
loop_
_space_group_symop_operation_xyz
'x,y,z'
loop_
_atom_site_label
_atom_site_type_symbol
_atom_site_fract_x
_atom_site_fract_y
_atom_site_fract_z
P1 P 0.000 0.000 0.500
Tl1 Tl 0.000 0.000 0.000
S1 S 0.000 0.500 0.000
S2 S 0.500 0.000 0.000
Ag1 Ag 0.500 0.500 0.500
# - Symmetry: No. 123
# - Energy relative to the elements, uncorrected: 1086.2 meV per atom
# - Crystal system: tetragonal
# - Total energy: -13.45 eV per cell
# - Polymorph energy (0 for the lowest one): 0.427 eV/atom